Record 1
CrHgP | PBE | optimized geometry

abc: 2.9990 3.0060 11.7586
angles: 90.00 96.98 90.00
With the nearest neighbours (Å) after each atom.
Fractional positions:
Cr  0.7812  0.2500  0.0696  5 P 2.33-2.60
Cr  0.2188  0.7500  0.9304  5 P 2.33-2.60
Hg  0.5617  0.2500  0.6149  1 P 2.71, 4 Hg 3.00-3.01
Hg  0.4383  0.7500  0.3851  1 P 2.71, 4 Hg 3.00-3.01
P  0.6767  0.2500  0.8470  5 Cr 2.33-2.60
P  0.3233  0.7500  0.1530  5 Cr 2.33-2.60

Calculated values
**Energy of formation from the pure elements**: -72 meV/atom
**SG**: No. 11
**Volume**: 17.54 Å³/atom

---

Record 2
K2Zn2IrO6 | PBE | optimized geometry

abc: 5.4060 5.4060 6.4401
angles: 98.98 98.98 118.88
With the nearest neighbours (Å) after each atom.
Fractional positions:
K  0.8263  0.1737  0.0000  6 O 2.68-2.73
K  0.1737  0.8263  0.0000  6 O 2.68-2.73
Zn  0.3364  0.6636  0.5000  6 O 2.13-2.19
Zn  0.6636  0.3364  0.5000  6 O 2.13-2.19
Ir  0.0000  0.0000  0.5000  6 O 1.97-1.98
O  0.7548  0.7548  0.6696  1 Ir 1.98, 2 Zn 2.13
O  0.0571  0.3672  0.6711  1 Ir 1.97, 2 Zn 2.15-2.19
O  0.2452  0.2452  0.3304  1 Ir 1.98, 2 Zn 2.13
O  0.3672  0.0571  0.6711  1 Ir 1.97, 2 Zn 2.15-2.19
O  0.9429  0.6328  0.3289  1 Ir 1.97, 2 Zn 2.15-2.19
O  0.6328  0.9429  0.3289  1 Ir 1.97, 2 Zn 2.15-2.19

Calculated values
**SG**: No. 12
**Formation energy (no corrections)**: -12.80 eV/f.u.
**Volume**: 14.26 Å³/atom

---

Record 3
LaYMn2 | PBE | optimized geometry

abc: 5.6520 5.6520 5.6520
angles: 133.76 133.76 67.46
With the nearest neighbours (Å) after each atom.
Fractional positions:
La  0.7500  0.2500  0.5000  8 Mn 3.14-3.23, 4 Y 3.23
Mn  0.0000  0.0000  0.0000  4 Y 3.14, 4 La 3.23, 4 Mn 3.23
Mn  0.2500  0.7500  0.5000  4 La 3.14, 4 Mn 3.23, 4 Y 3.23
Y  0.5000  0.5000  0.0000  8 Mn 3.14-3.23, 4 La 3.23

Calculated values
**Energy of formation from the pure elements**: 369 meV/atom
**SG**: No. 119
**Volume**: 23.15 Å³/atom

---

| no. | uncorrected energy (eV for the cell shown) |
| --- | --- |
| 1 | -31.10 |
| 2 | -56.15 |
| 3 | -28.26 |